! PBEsol MnTlRu, relaxed; values from VASP
&SYSTEM
  ibrav = 0, nat = 3, ntyp = 3
/
ATOMIC_SPECIES
Ru 101.07 Ru.upf
Mn 54.94 Mn.upf
Tl 204.38 Tl.upf
CELL_PARAMETERS angstrom
3.133 0.000 0.000
0.000 4.249 0.000
0.000 -2.125 3.680
ATOMIC_POSITIONS crystal
Ru 0.000 0.333 0.667
Mn 0.000 0.000 0.000
Tl 0.500 0.667 0.333
! mass density = 12214 kg/m³
! total moment = 3.49 μB/cell
! energy of formation from the pure elements = 0.5944 eV/atom
! DOS(E_F) = 3.1 states/eV/cell
! DFT total energy = -6.9268 eV per atom